Record 1
! PBE-GGA VGa4S2, optimized geometry; values from VASP
&SYSTEM
  ibrav = 0, nat = 7, ntyp = 3
/
ATOMIC_SPECIES
S 32.06 S.upf
Ga 69.72 Ga.upf
V 50.94 V.upf
ATOMIC_POSITIONS crystal
S 0.639 0.639 0.723
S 0.361 0.361 0.277
Ga 0.807 0.807 0.385
Ga 0.193 0.193 0.615
Ga 0.000 0.500 0.000
Ga 0.500 0.000 0.000
V 0.000 0.000 0.000
CELL_PARAMETERS angstrom
-2.459 -2.813 3.551
4.183 -2.961 0.551
3.063 1.093 6.727
! symmetry: I4/mmm

Record 2
! PBE-GGA VGaS2, optimized geometry; values from VASP
&SYSTEM
  ibrav = 0, nat = 4, ntyp = 3
/
ATOMIC_SPECIES
S 32.06 S.upf
Ga 69.72 Ga.upf
V 50.94 V.upf
ATOMIC_POSITIONS crystal
S 0.895 0.895 0.895
S 0.105 0.105 0.105
Ga 0.500 0.500 0.500
V 0.000 0.000 0.000
CELL_PARAMETERS angstrom
2.035 0.000 7.417
-1.018 1.763 7.417
-1.018 -1.763 7.417
! symmetry: R-3m

Record 3
! PBE-GGA VGa2S4, optimized geometry; values from VASP
&SYSTEM
  ibrav = 0, nat = 7, ntyp = 3
/
ATOMIC_SPECIES
V 50.94 V.upf
Ga 69.72 Ga.upf
S 32.06 S.upf
ATOMIC_POSITIONS crystal
V 0.500 0.500 0.000
Ga 0.250 0.750 0.500
Ga 0.750 0.250 0.500
S 0.350 0.190 0.540
S 0.810 0.350 0.160
S 0.190 0.650 0.840
S 0.650 0.810 0.460
CELL_PARAMETERS angstrom
5.934 0.094 0.000
-2.774 5.246 0.000
-1.580 -2.670 5.059
! symmetry: I4/m

Record 4
! PBE-GGA V4GaS, optimized geometry; values from VASP
&SYSTEM
  ibrav = 0, nat = 12, ntyp = 3
/
ATOMIC_SPECIES
V 50.94 V.upf
Ga 69.72 Ga.upf
S 32.06 S.upf
ATOMIC_POSITIONS crystal
V 0.505 0.054 0.842
V 0.664 0.446 0.158
V 0.495 0.946 0.158
V 0.336 0.554 0.842
V 0.946 0.895 0.627
V 0.320 0.605 0.373
V 0.054 0.105 0.373
V 0.680 0.395 0.627
Ga 0.907 0.750 0.000
Ga 0.093 0.250 0.000
S 0.500 0.000 0.500
S 0.000 0.500 0.500
CELL_PARAMETERS angstrom
5.010 -0.001 -0.001
-0.001 5.711 0.255
-2.506 -2.105 5.902
! symmetry: C2/c

Record 5
! PBE-GGA VGaS4, optimized geometry; values from VASP
&SYSTEM
  ibrav = 0, nat = 12, ntyp = 3
/
ATOMIC_SPECIES
V 50.94 V.upf
Ga 69.72 Ga.upf
S 32.06 S.upf
ATOMIC_POSITIONS crystal
V 0.000 0.500 0.000
V 0.500 0.000 0.500
Ga 0.000 0.000 0.500
Ga 0.000 0.000 0.000
S 0.742 0.257 0.500
S 0.743 0.258 0.000
S 0.742 0.743 0.500
S 0.257 0.742 0.000
S 0.258 0.743 0.500
S 0.257 0.258 0.000
S 0.743 0.742 0.000
S 0.258 0.257 0.500
CELL_PARAMETERS angstrom
-5.903 -0.998 2.336
2.541 -2.295 5.438
-0.014 8.277 3.500
! symmetry: P4_2/mmc
! energy above the lowest structure with this stoichiometry: 0.559 eV/atom

Record 6
! PBE-GGA VGaS3, optimized geometry; values from VASP
&SYSTEM
  ibrav = 0, nat = 5, ntyp = 3
/
ATOMIC_SPECIES
S 32.06 S.upf
Ga 69.72 Ga.upf
V 50.94 V.upf
ATOMIC_POSITIONS crystal
S 0.000 0.500 0.000
S 0.000 0.000 0.500
S 0.500 0.000 0.000
Ga 0.000 0.000 0.000
V 0.500 0.500 0.500
CELL_PARAMETERS angstrom
4.652 0.000 0.000
0.000 4.652 0.000
0.000 0.000 4.652
! symmetry: Pm-3m
! energy above the lowest structure with this stoichiometry: 0.957 eV/atom

Record 7
! PBE-GGA VGaS3, optimized geometry; values from VASP
&SYSTEM
  ibrav = 0, nat = 5, ntyp = 3
/
ATOMIC_SPECIES
S 32.06 S.upf
Ga 69.72 Ga.upf
V 50.94 V.upf
ATOMIC_POSITIONS crystal
S 0.000 0.500 0.000
S 0.000 0.000 0.500
S 0.500 0.000 0.000
Ga 0.500 0.500 0.500
V 0.000 0.000 0.000
CELL_PARAMETERS angstrom
4.626 0.000 0.000
0.000 4.626 0.000
0.000 0.000 4.626
! symmetry: Pm-3m
! energy above the lowest structure with this stoichiometry: 0.302 eV/atom

Record 8
! PBE-GGA VGaS2, optimized geometry; values from VASP
&SYSTEM
  ibrav = 0, nat = 8, ntyp = 3
/
ATOMIC_SPECIES
S 32.06 S.upf
Ga 69.72 Ga.upf
V 50.94 V.upf
ATOMIC_POSITIONS crystal
S 0.554 0.125 0.250
S 0.196 0.625 0.250
S 0.375 0.446 0.750
S 0.875 0.804 0.750
Ga 0.000 0.000 0.000
Ga 0.750 0.250 0.500
V 0.500 0.500 0.000
V 0.250 0.750 0.500
CELL_PARAMETERS angstrom
6.305 0.000 0.000
0.000 6.305 0.000
3.152 3.152 4.831
! symmetry: I-42d

Record 9
! PBE-GGA V2GaS4, optimized geometry; values from VASP
&SYSTEM
  ibrav = 0, nat = 14, ntyp = 3
/
ATOMIC_SPECIES
V 50.94 V.upf
Ga 69.72 Ga.upf
S 32.06 S.upf
ATOMIC_POSITIONS crystal
V 0.500 0.500 0.500
V 0.500 0.000 0.500
V 0.000 0.000 0.000
V 0.500 0.000 0.000
Ga 0.875 0.625 0.750
Ga 0.125 0.375 0.250
S 0.258 0.775 0.984
S 0.742 0.225 0.016
S 0.275 0.758 0.484
S 0.258 0.242 0.516
S 0.258 0.242 0.984
S 0.742 0.758 0.484
S 0.725 0.242 0.516
S 0.742 0.758 0.016
CELL_PARAMETERS angstrom
6.214 -0.041 3.553
-1.993 5.886 3.553
0.030 0.042 7.159
! symmetry: Fd-3m

Record 10
! PBE-GGA Ga2WS, optimized geometry; values from VASP
&SYSTEM
  ibrav = 0, nat = 8, ntyp = 3
/
ATOMIC_SPECIES
S 32.06 S.upf
Ga 69.72 Ga.upf
W 183.84 W.upf
ATOMIC_POSITIONS crystal
S 0.500 0.500 0.000
S 0.250 0.750 0.500
Ga 0.619 0.125 0.250
Ga 0.131 0.625 0.250
Ga 0.375 0.381 0.750
Ga 0.875 0.869 0.750
W 0.000 0.000 0.000
W 0.750 0.250 0.500
CELL_PARAMETERS angstrom
7.235 0.000 0.000
0.000 7.235 0.000
3.617 3.617 2.572
! symmetry: I-42d

Record 11
! PBE-GGA GaWS3, optimized geometry; values from VASP
&SYSTEM
  ibrav = 0, nat = 5, ntyp = 3
/
ATOMIC_SPECIES
S 32.06 S.upf
Ga 69.72 Ga.upf
W 183.84 W.upf
ATOMIC_POSITIONS crystal
S 0.000 0.500 0.000
S 0.000 0.000 0.500
S 0.500 0.000 0.000
Ga 0.500 0.500 0.500
W 0.000 0.000 0.000
CELL_PARAMETERS angstrom
-1.247 0.234 4.562
-2.227 -4.160 -0.396
3.988 -2.250 1.205
! symmetry: Pm-3m
! energy above the lowest structure with this stoichiometry: 0.000 eV/atom

Record 12
! PBE-GGA GaWS, optimized geometry; values from VASP
&SYSTEM
  ibrav = 0, nat = 6, ntyp = 3
/
ATOMIC_SPECIES
W 183.84 W.upf
S 32.06 S.upf
Ga 69.72 Ga.upf
ATOMIC_POSITIONS crystal
W 0.439 0.878 0.000
W 0.450 0.899 0.500
S 0.783 0.566 0.393
S 0.783 0.566 0.607
Ga 0.106 0.212 0.856
Ga 0.106 0.212 0.144
CELL_PARAMETERS angstrom
-2.922 0.303 -0.676
0.878 -2.084 1.995
-1.564 10.161 11.304
! symmetry: Amm2

Record 13
! PBE-GGA GaWS3, optimized geometry; values from VASP
&SYSTEM
  ibrav = 0, nat = 5, ntyp = 3
/
ATOMIC_SPECIES
S 32.06 S.upf
Ga 69.72 Ga.upf
W 183.84 W.upf
ATOMIC_POSITIONS crystal
S 0.000 0.500 0.000
S 0.000 0.000 0.500
S 0.500 0.000 0.000
Ga 0.000 0.000 0.000
W 0.500 0.500 0.500
CELL_PARAMETERS angstrom
4.577 0.000 0.000
0.000 4.577 0.000
0.000 0.000 4.577
! symmetry: Pm-3m
! energy above the lowest structure with this stoichiometry: 1.117 eV/atom

Record 14
! PBE-GGA YGaWS2, optimized geometry; values from VASP
&SYSTEM
  ibrav = 0, nat = 5, ntyp = 4
/
ATOMIC_SPECIES
Y 88.91 Y.upf
S 32.06 S.upf
Ga 69.72 Ga.upf
W 183.84 W.upf
ATOMIC_POSITIONS crystal
Y 0.500 0.500 0.500
S 0.000 0.500 0.000
S 0.500 0.000 0.000
Ga 0.000 0.000 0.500
W 0.000 0.000 0.000
CELL_PARAMETERS angstrom
-1.771 4.239 -0.412
-1.364 -0.987 -4.294
-4.491 -1.700 1.818
! symmetry: P4/mmm

Record 15
! PBE-GGA YGa2S, optimized geometry; values from VASP
&SYSTEM
  ibrav = 0, nat = 8, ntyp = 3
/
ATOMIC_SPECIES
Y 88.91 Y.upf
S 32.06 S.upf
Ga 69.72 Ga.upf
ATOMIC_POSITIONS crystal
Y 0.000 0.000 0.000
Y 0.750 0.250 0.500
S 0.500 0.500 0.000
S 0.250 0.750 0.500
Ga 0.591 0.125 0.250
Ga 0.159 0.625 0.250
Ga 0.375 0.409 0.750
Ga 0.875 0.841 0.750
CELL_PARAMETERS angstrom
-4.410 6.538 -0.653
-0.773 -1.298 -7.767
-4.865 1.134 -3.736
! symmetry: I-42d

Record 16
! PBE-GGA Y6GaS4, optimized geometry; values from VASP
&SYSTEM
  ibrav = 0, nat = 22, ntyp = 3
/
ATOMIC_SPECIES
Y 88.91 Y.upf
Ga 69.72 Ga.upf
S 32.06 S.upf
ATOMIC_POSITIONS crystal
Y 0.500 0.000 0.000
Y 0.500 0.000 0.500
Y 0.046 0.091 0.337
Y 0.954 0.909 0.663
Y 0.954 0.909 0.837
Y 0.046 0.091 0.163
Y 0.772 0.544 0.415
Y 0.228 0.456 0.585
Y 0.228 0.456 0.915
Y 0.772 0.544 0.085
Y 0.333 0.667 0.250
Y 0.667 0.333 0.750
Ga 0.664 0.328 0.250
Ga 0.336 0.672 0.750
S 0.862 0.725 0.540
S 0.409 0.818 0.123
S 0.138 0.275 0.460
S 0.591 0.182 0.877
S 0.862 0.725 0.960
S 0.138 0.275 0.040
S 0.591 0.182 0.623
S 0.409 0.818 0.377
CELL_PARAMETERS angstrom
-2.245 -3.096 0.829
3.268 1.636 5.727
-14.971 12.211 5.056
! symmetry: Cmcm

Record 17
! PBE-GGA Y6GaS3, optimized geometry; values from VASP
&SYSTEM
  ibrav = 0, nat = 20, ntyp = 3
/
ATOMIC_SPECIES
Y 88.91 Y.upf
Ga 69.72 Ga.upf
S 32.06 S.upf
ATOMIC_POSITIONS crystal
Y 0.750 0.441 0.604
Y 0.250 0.559 0.396
Y 0.750 0.925 0.084
Y 0.250 0.075 0.916
Y 0.750 0.375 0.061
Y 0.250 0.625 0.939
Y 0.750 0.729 0.240
Y 0.250 0.271 0.760
Y 0.750 0.097 0.456
Y 0.250 0.903 0.544
Y 0.750 0.772 0.721
Y 0.250 0.228 0.279
Ga 0.750 0.070 0.721
Ga 0.250 0.930 0.279
S 0.750 0.445 0.849
S 0.250 0.555 0.151
S 0.750 0.729 0.471
S 0.250 0.271 0.529
S 0.750 0.157 0.096
S 0.250 0.843 0.904
CELL_PARAMETERS angstrom
-0.399 -3.659 1.309
-0.829 -3.986 -11.394
10.776 0.389 4.372
! symmetry: P2_1/m

Record 18
! PBE-GGA Y9Ga5S21, optimized geometry; values from VASP
&SYSTEM
  ibrav = 0, nat = 70, ntyp = 3
/
ATOMIC_SPECIES
Y 88.91 Y.upf
Ga 69.72 Ga.upf
S 32.06 S.upf
ATOMIC_POSITIONS crystal
Y 0.884 0.739 0.114
Y 0.228 0.074 0.454
Y 0.552 0.394 0.769
Y 0.769 0.552 0.394
Y 0.114 0.884 0.739
Y 0.454 0.228 0.074
Y 0.074 0.454 0.228
Y 0.394 0.769 0.552
Y 0.739 0.114 0.884
Y 0.434 0.586 0.211
Y 0.776 0.932 0.551
Y 0.099 0.248 0.872
Y 0.551 0.776 0.932
Y 0.872 0.099 0.248
Y 0.211 0.434 0.586
Y 0.248 0.872 0.099
Y 0.586 0.211 0.434
Y 0.932 0.551 0.776
Ga 0.390 0.049 0.722
Ga 0.722 0.390 0.049
Ga 0.049 0.722 0.390
Ga 0.225 0.550 0.885
Ga 0.550 0.885 0.225
Ga 0.885 0.225 0.550
Ga 0.860 0.860 0.860
Ga 0.162 0.162 0.162
Ga 0.663 0.663 0.663
Ga 0.359 0.359 0.359
S 0.448 0.008 0.538
S 0.783 0.354 0.867
S 0.108 0.690 0.203
S 0.203 0.108 0.690
S 0.538 0.448 0.008
S 0.867 0.783 0.354
S 0.354 0.867 0.783
S 0.690 0.203 0.108
S 0.008 0.538 0.448
S 0.062 0.476 0.964
S 0.383 0.812 0.299
S 0.717 0.158 0.630
S 0.299 0.383 0.812
S 0.630 0.717 0.158
S 0.964 0.062 0.476
S 0.158 0.630 0.717
S 0.476 0.964 0.062
S 0.812 0.299 0.383
S 0.511 0.174 0.845
S 0.845 0.511 0.174
S 0.174 0.845 0.511
S 0.009 0.345 0.675
S 0.345 0.675 0.009
S 0.675 0.009 0.345
S 0.417 0.311 0.561
S 0.766 0.666 0.900
S 0.102 0.993 0.242
S 0.242 0.102 0.993
S 0.561 0.417 0.311
S 0.900 0.766 0.666
S 0.666 0.900 0.766
S 0.993 0.242 0.102
S 0.311 0.561 0.417
S 0.287 0.387 0.153
S 0.621 0.733 0.485
S 0.946 0.049 0.798
S 0.485 0.621 0.733
S 0.798 0.946 0.049
S 0.153 0.287 0.387
S 0.049 0.798 0.946
S 0.387 0.153 0.287
S 0.733 0.485 0.621
CELL_PARAMETERS angstrom
-2.186 8.141 7.801
6.455 -6.257 7.148
8.966 5.586 -4.507
! symmetry: R3

Record 19
! PBE-GGA YGaS, optimized geometry; values from VASP
&SYSTEM
  ibrav = 0, nat = 6, ntyp = 3
/
ATOMIC_SPECIES
Y 88.91 Y.upf
S 32.06 S.upf
Ga 69.72 Ga.upf
ATOMIC_POSITIONS crystal
Y 0.577 0.577 0.268
Y 0.423 0.423 0.732
S 0.281 0.281 0.158
S 0.719 0.719 0.842
Ga 0.839 0.839 0.482
Ga 0.161 0.161 0.518
CELL_PARAMETERS angstrom
4.149 0.000 0.000
2.075 3.593 0.000
2.075 1.198 10.355
! symmetry: R-3m

Record 20
! PBE-GGA Y4Ga2S, optimized geometry; values from VASP
&SYSTEM
  ibrav = 0, nat = 7, ntyp = 3
/
ATOMIC_SPECIES
Y 88.91 Y.upf
Ga 69.72 Ga.upf
S 32.06 S.upf
ATOMIC_POSITIONS crystal
Y 0.086 0.198 0.630
Y 0.914 0.802 0.370
Y 0.326 0.265 0.084
Y 0.674 0.735 0.916
Ga 0.378 0.580 0.663
Ga 0.622 0.420 0.337
S 0.000 0.000 0.000
CELL_PARAMETERS angstrom
3.937 0.000 1.192
1.718 5.937 1.422
-0.092 0.097 7.401
! symmetry: C2/m

Record 21
! PBE-GGA YGa3S, optimized geometry; values from VASP
&SYSTEM
  ibrav = 0, nat = 5, ntyp = 3
/
ATOMIC_SPECIES
Y 88.91 Y.upf
S 32.06 S.upf
Ga 69.72 Ga.upf
ATOMIC_POSITIONS crystal
Y 0.000 0.000 0.000
S 0.500 0.500 0.500
Ga 0.000 0.500 0.000
Ga 0.000 0.000 0.500
Ga 0.500 0.000 0.000
CELL_PARAMETERS angstrom
5.555 0.000 0.000
0.000 5.555 0.000
0.000 0.000 5.555
! symmetry: Pm-3m
! energy above the lowest structure with this stoichiometry: 0.756 eV/atom

no.,formation energy without anion corrections (meV/atom),volume (Å³ per atom)
1,173,24.8
2,-95,20.0
3,-520,22.7
4,-180,14.3
5,-17,30.9
6,399,20.1
7,-256,19.8
8,-451,24.0
9,-795,18.5
10,574,16.8
11,-104,21.2
12,-92,20.1
13,1013,19.2
14,-182,21.8
15,-447,21.6
16,-1608,23.1
17,-1325,24.8
18,-1550,21.5
19,-1193,25.7
20,-961,24.8
21,841,34.3